(1)
# Ca2PrNd4 | Alexandria via LeMat-Bulk | GGA-PBE | relaxed
data_Ca2PrNd4
_symmetry_space_group_name_H-M 'I 4/m m m'
_symmetry_Int_Tables_number 139
_symmetry_space_group_name_Hall '-I 4 2'
_cell_length_a 5.7961
_cell_length_b 5.7961
_cell_length_c 18.0270
_cell_angle_alpha 90.00
_cell_angle_beta 90.00
_cell_angle_gamma 90.00
loop_
_atom_site_label
_atom_site_type_symbol
_atom_site_fract_x
_atom_site_fract_y
_atom_site_fract_z
Ca1 Ca 0.0000 0.0000 0.1267
Pr1 Pr 0.0000 0.0000 0.5000
Nd1 Nd 0.0000 0.0000 0.3270
Nd2 Nd 0.0000 0.5000 0.0000
# * relative energy among the computed polymorphs: 464 meV per atom
# * total magnetization: 1.03 μB per formula unit
# * VASP energy: -3.4054 eV per atom


(2)
# Ca2Pr5Nd4 | Alexandria via LeMat-Bulk | GGA-PBE | relaxed
data_Ca2Pr5Nd4
_symmetry_space_group_name_H-M 'I m m m'
_symmetry_Int_Tables_number 71
_symmetry_space_group_name_Hall '-I 2 2'
_cell_length_a 3.5802
_cell_length_b 12.0104
_cell_length_c 19.0583
_cell_angle_alpha 90.00
_cell_angle_beta 90.00
_cell_angle_gamma 90.00
loop_
_atom_site_label
_atom_site_type_symbol
_atom_site_fract_x
_atom_site_fract_y
_atom_site_fract_z
Ca1 Ca 0.0000 0.0000 0.1956
Pr1 Pr 0.0000 0.2916 0.1779
Pr2 Pr 0.0000 0.5000 0.5000
Nd1 Nd 0.0000 0.0000 0.4114
Nd2 Nd 0.0000 0.2659 0.0000
# * total magnetization: 0.00 μB per formula unit
# * VASP energy: -4.1086 eV per atom


(3)
# CaPr9Nd2 | Alexandria via LeMat-Bulk | GGA-PBE | relaxed
data_CaPr9Nd2
_symmetry_space_group_name_H-M 'P 4/m m m'
_symmetry_Int_Tables_number 123
_symmetry_space_group_name_Hall '-P 4 2'
_cell_length_a 5.2620
_cell_length_b 5.2620
_cell_length_c 15.7665
_cell_angle_alpha 90.00
_cell_angle_beta 90.00
_cell_angle_gamma 90.00
loop_
_atom_site_label
_atom_site_type_symbol
_atom_site_fract_x
_atom_site_fract_y
_atom_site_fract_z
Ca1 Ca 0.0000 0.0000 0.0000
Pr1 Pr 0.0000 0.5000 0.1711
Pr2 Pr 0.0000 0.5000 0.5000
Pr3 Pr 0.5000 0.5000 0.0000
Pr4 Pr 0.5000 0.5000 0.3336
Nd1 Nd 0.0000 0.0000 0.3331
# * total magnetization: 0.00 μB per formula unit
# * VASP energy: -4.5190 eV per atom


(4)
# Ca2PrNd4 | Alexandria via LeMat-Bulk | GGA-PBE | relaxed
data_Ca2PrNd4
_symmetry_space_group_name_H-M 'I m m m'
_symmetry_Int_Tables_number 71
_symmetry_space_group_name_Hall '-I 2 2'
_cell_length_a 3.6026
_cell_length_b 5.9877
_cell_length_c 23.9988
_cell_angle_alpha 90.00
_cell_angle_beta 90.00
_cell_angle_gamma 90.00
loop_
_atom_site_label
_atom_site_type_symbol
_atom_site_fract_x
_atom_site_fract_y
_atom_site_fract_z
Ca1 Ca 0.0000 0.0000 0.2213
Pr1 Pr 0.0000 0.0000 0.5000
Nd1 Nd 0.0000 0.5000 0.1316
Nd2 Nd 0.0000 0.5000 0.4194
# * relative energy among the computed polymorphs: 0 meV per atom
# * total magnetization: 0.00 μB per formula unit
# * VASP energy: -3.8689 eV per atom


(5)
# CaPrNd2 | Alexandria via LeMat-Bulk | GGA-PBE | relaxed
data_CaPrNd2
_symmetry_space_group_name_H-M 'F m -3 m'
_symmetry_Int_Tables_number 225
_symmetry_space_group_name_Hall '-F 4 2 3'
_cell_length_a 8.3706
_cell_length_b 8.3706
_cell_length_c 8.3706
_cell_angle_alpha 90.00
_cell_angle_beta 90.00
_cell_angle_gamma 90.00
loop_
_atom_site_label
_atom_site_type_symbol
_atom_site_fract_x
_atom_site_fract_y
_atom_site_fract_z
Ca1 Ca 0.0000 0.0000 0.0000
Pr1 Pr 0.0000 0.0000 0.5000
Nd1 Nd 0.2500 0.2500 0.2500
# * relative energy among the computed polymorphs: 92 meV per atom
# * total magnetization: 0.01 μB per formula unit
# * VASP energy: -3.9511 eV per atom


(6)
# Ca2Pr5Nd | Alexandria via LeMat-Bulk | GGA-PBE | relaxed
data_Ca2Pr5Nd
_symmetry_space_group_name_H-M 'I 4/m m m'
_symmetry_Int_Tables_number 139
_symmetry_space_group_name_Hall '-I 4 2'
_cell_length_a 5.2820
_cell_length_b 5.2820
_cell_length_c 21.3813
_cell_angle_alpha 90.00
_cell_angle_beta 90.00
_cell_angle_gamma 90.00
loop_
_atom_site_label
_atom_site_type_symbol
_atom_site_fract_x
_atom_site_fract_y
_atom_site_fract_z
Ca1 Ca 0.0000 0.0000 0.2499
Pr1 Pr 0.0000 0.0000 0.0000
Pr2 Pr 0.0000 0.5000 0.1184
Nd1 Nd 0.0000 0.0000 0.5000
# * total magnetization: 0.00 μB per formula unit
# * VASP energy: -4.0478 eV per atom


(7)
# CaPr4Nd | Alexandria via LeMat-Bulk | GGA-PBE | relaxed
data_CaPr4Nd
_symmetry_space_group_name_H-M 'I m m 2'
_symmetry_Int_Tables_number 44
_symmetry_space_group_name_Hall 'I 2 -2'
_cell_length_a 3.6181
_cell_length_b 6.7385
_cell_length_c 18.2988
_cell_angle_alpha 90.00
_cell_angle_beta 90.00
_cell_angle_gamma 90.00
loop_
_atom_site_label
_atom_site_type_symbol
_atom_site_fract_x
_atom_site_fract_y
_atom_site_fract_z
Ca1 Ca 0.0000 0.0000 0.0000
Pr1 Pr 0.0000 0.0000 0.5111
Pr2 Pr 0.0000 0.2404 0.3372
Pr3 Pr 0.0000 0.5000 0.1726
Nd1 Nd 0.0000 0.5000 0.6824
# * relative energy among the computed polymorphs: 125 meV per atom
# * total magnetization: 0.00 μB per formula unit
# * VASP energy: -4.1482 eV per atom


(8)
# CaPr14Nd | Alexandria via LeMat-Bulk | GGA-PBE | relaxed
data_CaPr14Nd
_symmetry_space_group_name_H-M 'A m m 2'
_symmetry_Int_Tables_number 38
_symmetry_space_group_name_Hall 'A 2 -2'
_cell_length_a 12.0649
_cell_length_b 7.5030
_cell_length_c 12.9866
_cell_angle_alpha 90.00
_cell_angle_beta 90.00
_cell_angle_gamma 90.00
loop_
_atom_site_label
_atom_site_type_symbol
_atom_site_fract_x
_atom_site_fract_y
_atom_site_fract_z
Ca1 Ca 0.0000 0.0000 0.0000
Pr1 Pr 0.0000 0.2475 0.7490
Pr2 Pr 0.2484 0.0000 0.6669
Pr3 Pr 0.2510 0.0000 0.1697
Pr4 Pr 0.2507 0.2460 0.4157
Pr5 Pr 0.5000 0.0000 0.0003
Pr6 Pr 0.5000 0.0000 0.5005
Pr7 Pr 0.5000 0.2503 0.2501
Nd1 Nd 0.0000 0.0000 0.5014
# * total magnetization: 0.00 μB per formula unit
# * VASP energy: -4.5670 eV per atom


(9)
# CaPr5Nd4 | Alexandria via LeMat-Bulk | GGA-PBE | relaxed
data_CaPr5Nd4
_symmetry_space_group_name_H-M 'P 4/m m m'
_symmetry_Int_Tables_number 123
_symmetry_space_group_name_Hall '-P 4 2'
_cell_length_a 4.3333
_cell_length_b 4.3333
_cell_length_c 19.3638
_cell_angle_alpha 90.00
_cell_angle_beta 90.00
_cell_angle_gamma 90.00
loop_
_atom_site_label
_atom_site_type_symbol
_atom_site_fract_x
_atom_site_fract_y
_atom_site_fract_z
Ca1 Ca 0.0000 0.0000 0.0000
Pr1 Pr 0.5000 0.5000 0.1106
Pr2 Pr 0.5000 0.5000 0.3045
Pr3 Pr 0.5000 0.5000 0.5000
Nd1 Nd 0.0000 0.0000 0.2113
Nd2 Nd 0.0000 0.0000 0.4018
# * total magnetization: 0.01 μB per formula unit
# * VASP energy: -4.3939 eV per atom


(10)
# Ca2Pr3Nd8 | Alexandria via LeMat-Bulk | GGA-PBE | relaxed
data_Ca2Pr3Nd8
_symmetry_space_group_name_H-M 'C 1 2/m 1'
_symmetry_Int_Tables_number 12
_symmetry_space_group_name_Hall '-C 2y'
_cell_length_a 13.7671
_cell_length_b 11.8703
_cell_length_c 6.4602
_cell_angle_alpha 90.00
_cell_angle_beta 115.79
_cell_angle_gamma 90.00
loop_
_atom_site_label
_atom_site_type_symbol
_atom_site_fract_x
_atom_site_fract_y
_atom_site_fract_z
Ca1 Ca 0.2190 0.0000 0.3676
Pr1 Pr 0.0000 0.2683 0.0000
Pr2 Pr 0.0000 0.5000 0.5000
Nd1 Nd 0.0505 0.0000 0.7886
Nd2 Nd 0.1587 0.5000 0.0399
Nd3 Nd 0.1647 0.2386 0.6721
# * total magnetization: 0.00 μB per formula unit
# * VASP energy: -4.1674 eV per atom


(11)
# Ca2Pr4Nd3 | Alexandria via LeMat-Bulk | GGA-PBE | relaxed
data_Ca2Pr4Nd3
_symmetry_space_group_name_H-M 'P 1 21/c 1'
_symmetry_Int_Tables_number 14
_symmetry_space_group_name_Hall '-P 2ybc'
_cell_length_a 8.6680
_cell_length_b 9.1141
_cell_length_c 9.3352
_cell_angle_alpha 90.00
_cell_angle_beta 114.77
_cell_angle_gamma 90.00
loop_
_atom_site_label
_atom_site_type_symbol
_atom_site_fract_x
_atom_site_fract_y
_atom_site_fract_z
Ca1 Ca 0.1778 0.1444 0.0515
Pr1 Pr 0.0691 0.5336 0.8649
Pr2 Pr 0.4673 0.1298 0.8520
Nd1 Nd 0.2621 0.6923 0.2507
Nd2 Nd 0.5000 0.0000 0.5000
# * total magnetization: 0.00 μB per formula unit
# * VASP energy: -3.9793 eV per atom


(12)
# CaPr2Nd3 | Alexandria via LeMat-Bulk | GGA-PBE | relaxed
data_CaPr2Nd3
_symmetry_space_group_name_H-M 'C m c m'
_symmetry_Int_Tables_number 63
_symmetry_space_group_name_Hall '-C 2c 2'
_cell_length_a 3.7165
_cell_length_b 19.4159
_cell_length_c 12.0948
_cell_angle_alpha 90.00
_cell_angle_beta 90.00
_cell_angle_gamma 90.00
loop_
_atom_site_label
_atom_site_type_symbol
_atom_site_fract_x
_atom_site_fract_y
_atom_site_fract_z
Ca1 Ca 0.0000 0.2229 0.2500
Pr1 Pr 0.0000 0.0000 0.0000
Pr2 Pr 0.0000 0.4463 0.7500
Nd1 Nd 0.0000 0.1076 0.7500
Nd2 Nd 0.0000 0.3354 0.0042
# * relative energy among the computed polymorphs: 0 meV per atom
# * total magnetization: 0.00 μB per formula unit
# * VASP energy: -4.2795 eV per atom


> Which value of total magnetization does entry 9 give?

0.01 μB per formula unit